# PBE SrLaCd, optimized geometry
data_SrLaCd
_cell_length_a 3.9551
_cell_length_b 3.9551
_cell_length_c 14.1528
_cell_angle_alpha 90.00
_cell_angle_beta 90.00
_cell_angle_gamma 90.00
_space_group_name_H-M_alt 'I 4 m m'
_space_group_IT_number 107
_space_group_name_Hall 'I 4 -2'
loop_
_atom_site_label
_atom_site_fract_x
_atom_site_fract_y
_atom_site_fract_z
Sr1 0.0000 0.0000 0.0000
La1 0.0000 0.0000 0.7207
Cd1 0.0000 0.0000 0.3497
# **ΔH_f (0 K)**: -169.9 meV/atom
# **Relative energy among the computed polymorphs**: 0 meV per atom
# **Total moment**: 0.3 μB per cell
# **E_tot**: -2.678 eV/atom
# **ρ**: 5.08 g/cm3